(1)
# CaPb2C2

CaPb2C2 at its PBEsol-relaxed geometry (meta-GGA SCAN, Alexandria).

extended XYZ file:
```
5
Lattice="-3.9547 2.5925 1.9629 0.5572 -4.6039 2.1696 4.4666 2.3491 0.8631" Properties=species:S:1:pos:R:3 pbc="T T T"
Pb -0.4428 -1.5694 2.8245
Pb 1.5119 1.9071 2.1712
Ca 0.0000 0.0000 0.0000
C 3.0402 -1.3645 1.8353
C 1.9836 -0.8903 1.1974
```

Results
ΔH_f (0 K) in eV/atom: 0.64
Total magnetization in Bohr magnetons per cell: 0.0
E_tot in eV/atom: -35.643
SG: I4/mmm (139)
Calculated density in g/cm3: 7.7

(2)
# Ca2FeHg

Ca2FeHg at its PBEsol-relaxed geometry (meta-GGA SCAN, Alexandria).

extended XYZ file:
```
4
Lattice="3.5259 0.0000 0.0000 0.0000 5.1568 0.0000 0.0000 0.0000 5.1568" Properties=species:S:1:pos:R:3 pbc="T T T"
Ca 0.0000 0.0000 2.5784
Ca 0.0000 2.5784 0.0000
Hg 1.7629 0.0000 0.0000
Fe 1.7629 2.5784 2.5784
```

Results
ΔH_f (0 K) in eV/atom: -0.04
Total magnetization in Bohr magnetons per cell: 3.0
E_tot in eV/atom: -26.450
SG: P4/mmm (123)
Calculated density in g/cm3: 6.0

(3)
# CuReTc2

CuReTc2 at its PBEsol-relaxed geometry (meta-GGA SCAN, Alexandria).

extended XYZ file:
```
4
Lattice="-0.3634 -1.5260 -2.0670 2.0855 1.5087 -0.3280 5.0464 -6.1771 3.6731" Properties=species:S:1:pos:R:3 pbc="T T T"
Cu 2.5274 -3.0937 1.8396
Re 2.1329 -1.5655 -0.2717
Tc 5.0392 -6.1683 3.6679
Tc 4.6385 -4.6324 1.5520
```

Results
ΔH_f (0 K) in eV/atom: 0.29
Total magnetization in Bohr magnetons per cell: 0.0
E_tot in eV/atom: -38.811
SG: Cmm2 (35)
Energy above the lowest structure with this stoichiometry in eV/atom: 0.098
Calculated density in g/cm3: 13.4

(4)
# TlRe2Ni

TlRe2Ni at its PBEsol-relaxed geometry (meta-GGA SCAN, Alexandria).

extended XYZ file:
```
4
Lattice="-0.4073 2.1807 2.0215 1.4790 -1.6216 2.0471 5.9511 2.9391 -1.9715" Properties=species:S:1:pos:R:3 pbc="T T T"
Ni 3.5114 1.7491 1.0486
Re 4.0734 2.0117 -1.3495
Re 1.8777 0.9273 -0.6221
Tl 0.5359 0.2796 2.0343
```

Results
ΔH_f (0 K) in eV/atom: 0.73
Total magnetization in Bohr magnetons per cell: 0.0
E_tot in eV/atom: -56.951
SG: P4/mmm (123)
Energy above the lowest structure with this stoichiometry in eV/atom: 0.000
Calculated density in g/cm3: 16.9

(5)
# MgAuIN2

MgAuIN2 at its PBEsol-relaxed geometry (meta-GGA SCAN, Alexandria).

extended XYZ file:
```
5
Lattice="4.0999 0.0000 0.0000 0.0000 4.0999 0.0000 0.0000 0.0000 6.0197" Properties=species:S:1:pos:R:3 pbc="T T T"
I 0.0000 0.0000 3.0098
Mg 0.0000 0.0000 0.0000
Au 2.0499 2.0499 3.0098
N 0.0000 2.0499 0.0000
N 2.0499 0.0000 0.0000
```

Results
Total magnetization in Bohr magnetons per cell: 4.2
Formation energy from raw total energies in kJ/mol of atoms: 106
E_tot in eV/atom: -24.794
SG: P4/mmm (123)
Calculated density in g/cm3: 6.2

(6)
# YReSb2Rh

YReSb2Rh at its PBEsol-relaxed geometry (meta-GGA SCAN, Alexandria).

extended XYZ file:
```
5
Lattice="4.6405 0.0000 0.0000 0.0000 5.5350 0.0000 0.0000 0.0000 5.5350" Properties=species:S:1:pos:R:3 pbc="T T T"
Y 0.0000 0.0000 0.0000
Re 2.3203 2.7675 2.7675
Rh 2.3203 0.0000 0.0000
Sb 0.0000 0.0000 2.7675
Sb 0.0000 2.7675 0.0000
```

Results
Total magnetization in Bohr magnetons per cell: 3.9
Formation energy from raw total energies in kJ/mol of atoms: 174
E_tot in eV/atom: -39.639
SG: P4/mmm (123)
Calculated density in g/cm3: 7.3

(7)
# ZrScHg2

ZrScHg2 at its PBEsol-relaxed geometry (meta-GGA SCAN, Alexandria).

extended XYZ file:
```
4
Lattice="3.1478 0.0000 0.0000 0.0000 3.1478 0.0000 0.0000 0.0000 8.2635" Properties=species:S:1:pos:R:3 pbc="T T T"
Sc 1.5739 1.5739 0.0000
Hg 0.0000 0.0000 6.2317
Hg 0.0000 0.0000 2.0318
Zr 1.5739 1.5739 4.1318
```

Results
ΔH_f (0 K) in eV/atom: -0.49
Total magnetization in Bohr magnetons per cell: 0.5
E_tot in eV/atom: -45.808
SG: P4/mmm (123)
Energy above the lowest structure with this stoichiometry in eV/atom: 0.000
Calculated density in g/cm3: 10.9

(8)
# Fe2Re

Fe2Re at its PBEsol-relaxed geometry (meta-GGA SCAN, Alexandria).

extended XYZ file:
```
24
Lattice="-2.8196 -3.2979 -1.4991 3.4070 -1.0349 2.8975 -9.1597 2.5254 11.6722" Properties=species:S:1:pos:R:3 pbc="T T T"
Fe -6.6693 0.4166 11.6272
Fe -1.9031 -2.2240 1.4433
Fe -4.1649 -1.6004 4.3256
Fe -4.4074 -0.2070 8.7450
Fe 1.7035 -0.5175 1.4488
Fe -1.4098 -1.6490 -0.7496
Fe 0.2937 -2.1664 0.6992
Fe -2.8764 0.7453 7.2848
Fe -5.9897 -0.3863 5.0865
Fe -4.2862 -0.9037 6.5353
Fe -5.9191 -1.1969 10.1689
Fe -6.2197 1.0205 9.4533
Fe -4.4762 0.4909 10.9361
Fe -2.6532 -0.6105 2.9016
Fe -2.3526 -2.8279 3.6173
Fe -4.0962 -2.2983 2.1344
Re -8.3110 2.2914 10.5907
Re -0.8487 0.2340 1.0815
Re -3.7312 1.0287 4.7546
Re -5.4285 1.4967 6.9176
Re -0.1040 -1.3935 3.2612
Re -8.4683 -0.4139 9.8094
Re -6.7594 -0.8851 7.6317
Re -1.8129 -0.9223 5.4388
```

Results
ΔH_f (0 K) in eV/atom: 0.08
Total magnetization in Bohr magnetons per cell: 24.3
E_tot in eV/atom: -35.703
SG: P6_3/mmc (194)
Calculated density in g/cm3: 14.4

(9)
# KNi2F

KNi2F at its PBEsol-relaxed geometry (meta-GGA SCAN, Alexandria).

extended XYZ file:
```
4
Lattice="-0.9296 1.0208 -4.1133 -4.1337 0.2144 -1.3009 -1.7847 3.8436 -0.9312" Properties=species:S:1:pos:R:3 pbc="T T T"
Ni -1.7120 1.2697 -1.5864
Ni -5.1360 3.8091 -4.7591
K -3.4240 2.5394 -3.1727
F 0.0000 0.0000 0.0000
```

Results
Total magnetization in Bohr magnetons per cell: 0.9
Formation energy from raw total energies in kJ/mol of atoms: 78
E_tot in eV/atom: -10.242
SG: Fm-3m (225)
Calculated density in g/cm3: 5.0

(10)
# RbYTe2

RbYTe2 at its PBEsol-relaxed geometry (meta-GGA SCAN, Alexandria).

extended XYZ file:
```
8
Lattice="4.4352 0.0000 0.0000 -2.2176 3.8410 0.0000 0.0000 0.0000 16.8354" Properties=species:S:1:pos:R:3 pbc="T T T"
Y 0.0000 0.0000 0.0000
Y 0.0000 0.0000 8.4177
Te 2.2176 1.2803 6.7203
Te 0.0000 2.5607 15.1380
Te 0.0000 2.5607 10.1152
Te 2.2176 1.2803 1.6974
Rb 2.2176 1.2803 12.6266
Rb 0.0000 2.5607 4.2089
```

Results
Total magnetization in Bohr magnetons per cell: 0.0
Formation energy from raw total energies in kJ/mol of atoms: -154
E_tot in eV/atom: -32.363
SG: P6_3/mmc (194)
Calculated density in g/cm3: 5.0

(11)
# Cr2InRh

Cr2InRh at its PBEsol-relaxed geometry (meta-GGA SCAN, Alexandria).

extended XYZ file:
```
4
Lattice="-2.2953 1.4909 1.8162 -2.3337 0.2868 -3.1848 0.5863 -4.6767 1.6096" Properties=species:S:1:pos:R:3 pbc="T T T"
Cr -3.1677 -0.9813 -0.2274
Cr -0.8750 -1.9177 0.4685
In -1.1476 0.7454 0.9081
Rh -1.1669 0.1434 -1.5924
```

Results
ΔH_f (0 K) in eV/atom: 0.25
Total magnetization in Bohr magnetons per cell: 0.0
E_tot in eV/atom: -25.727
SG: Immm (71)
Calculated density in g/cm3: 9.6

(12)
# SrTaTe2

SrTaTe2 at its PBEsol-relaxed geometry (meta-GGA SCAN, Alexandria).

extended XYZ file:
```
4
Lattice="3.7181 0.0000 0.0000 0.0000 3.8744 0.0000 -1.8590 -1.9372 7.4061" Properties=species:S:1:pos:R:3 pbc="T T T"
Sr 1.8590 1.9372 0.7229
Te 1.8590 1.9372 6.4214
Te 1.8590 0.0000 3.2868
Ta 0.0000 1.9372 4.3811
```

Results
Total magnetization in Bohr magnetons per cell: 0.0
Formation energy from raw total energies in kJ/mol of atoms: -45
E_tot in eV/atom: -41.303
SG: Imm2 (44)
Energy above the lowest structure with this stoichiometry in eV/atom: 0.100
Calculated density in g/cm3: 8.2

(13)
# K3InGa

K3InGa at its PBEsol-relaxed geometry (meta-GGA SCAN, Alexandria).

extended XYZ file:
```
5
Lattice="6.3293 0.0000 0.0000 0.0000 6.3293 0.0000 0.0000 0.0000 6.3293" Properties=species:S:1:pos:R:3 pbc="T T T"
K 0.0000 3.1646 0.0000
K 0.0000 0.0000 3.1646
K 3.1646 0.0000 0.0000
Ga 0.0000 0.0000 0.0000
In 3.1646 3.1646 3.1646
```

Results
ΔH_f (0 K) in eV/atom: 0.35
Total magnetization in Bohr magnetons per cell: 0.0
E_tot in eV/atom: -14.592
SG: Pm-3m (221)
Energy above the lowest structure with this stoichiometry in eV/atom: 0.000
Calculated density in g/cm3: 2.0

(14)
# BeInSb2

BeInSb2 at its PBEsol-relaxed geometry (meta-GGA SCAN, Alexandria).

extended XYZ file:
```
4
Lattice="4.0971 0.0000 0.0000 0.0000 4.0971 0.0000 -2.0486 -2.0486 5.4373" Properties=species:S:1:pos:R:3 pbc="T T T"
Sb 0.0000 0.0000 0.0000
Sb 2.0486 0.0000 2.7187
Be 2.0486 2.0486 0.0000
In 0.0000 2.0486 2.7187
```

Results
Total magnetization in Bohr magnetons per cell: 0.0
Formation energy from raw total energies in kJ/mol of atoms: 54
E_tot in eV/atom: -27.508
SG: I-4m2 (119)
Energy above the lowest structure with this stoichiometry in eV/atom: 0.257
Calculated density in g/cm3: 6.7

(15)
# Ti2Se3

Ti2Se3 at its PBEsol-relaxed geometry (meta-GGA SCAN, Alexandria).

extended XYZ file:
```
20
Lattice="6.1213 0.0000 0.0000 -3.0606 5.3012 0.0000 0.0000 0.0000 11.9033" Properties=species:S:1:pos:R:3 pbc="T T T"
Ti 0.0000 3.5341 5.8901
Ti 3.0606 1.7671 6.0132
Ti 0.0000 3.5341 0.0616
Ti 3.0606 1.7671 11.8417
Ti 0.0000 0.0000 5.9516
Ti 0.0000 0.0000 0.0000
Ti 0.0000 3.5341 2.9758
Ti 3.0606 1.7671 8.9275
Se 1.0522 1.7177 4.3978
Se 2.0085 3.5835 7.5055
Se 4.0221 3.5312 4.3978
Se 2.0136 0.0524 1.5539
Se -0.9614 1.7700 7.5055
Se 1.0470 5.2488 10.3494
Se 4.1077 0.0524 4.3978
Se 5.0691 1.7177 1.5539
Se -1.0470 5.2488 7.5055
Se -2.0085 3.5835 10.3494
Se 2.0992 3.5312 1.5539
Se 0.9614 1.7700 10.3494
```

Results
Total magnetization in Bohr magnetons per cell: 0.0
Formation energy from raw total energies in kJ/mol of atoms: -126
E_tot in eV/atom: -19.762
SG: P-31c (163)
Calculated density in g/cm3: 5.7

(16)
# Ta2TcAs

Ta2TcAs at its PBEsol-relaxed geometry (meta-GGA SCAN, Alexandria).

extended XYZ file:
```
4
Lattice="-0.2363 -2.9521 -0.4457 3.4678 -0.5783 1.9910 -2.6705 -0.4680 4.5156" Properties=species:S:1:pos:R:3 pbc="T T T"
As 0.2805 -1.9992 3.0304
Tc 1.6157 -1.7652 0.7726
Ta -2.0161 -0.3533 3.4090
Ta -0.6544 -0.1147 1.1066
```

Results
ΔH_f (0 K) in eV/atom: -0.13
Total magnetization in Bohr magnetons per cell: 0.0
E_tot in eV/atom: -47.238
SG: Pmmm (47)
Calculated density in g/cm3: 13.9

(17)
# CrH3Cl

CrH3Cl at its PBEsol-relaxed geometry (meta-GGA SCAN, Alexandria).

extended XYZ file:
```
5
Lattice="-3.1470 -1.5646 -0.1801 0.2770 -0.9459 3.3783 -1.5503 3.0069 0.9690" Properties=species:S:1:pos:R:3 pbc="T T T"
Cr 0.0000 0.0000 0.0000
Cl -2.2102 0.2482 2.0836
H 0.1385 -0.4730 1.6891
H -0.7752 1.5035 0.4845
H -1.5735 -0.7823 -0.0900
```

Results
Total magnetization in Bohr magnetons per cell: 2.3
E_tot in eV/atom: -6.940
SG: Pm-3m (221)
Calculated density in g/cm3: 3.4

(18)
# Mn2CdSi

Mn2CdSi at its PBEsol-relaxed geometry (meta-GGA SCAN, Alexandria).

extended XYZ file:
```
4
Lattice="4.2053 0.0000 0.0000 2.1027 3.6419 0.0000 2.1027 1.2140 3.4336" Properties=species:S:1:pos:R:3 pbc="T T T"
Cd 0.0000 0.0000 0.0000
Mn 2.1027 1.2140 0.8584
Mn 6.3080 3.6419 2.5752
Si 4.2053 2.4279 1.7168
```

Results
Total magnetization in Bohr magnetons per cell: 6.3
Formation energy from raw total energies in kJ/mol of atoms: 11
E_tot in eV/atom: -19.120
SG: Fm-3m (225)
Energy above the lowest structure with this stoichiometry in eV/atom: 0.096
Calculated density in g/cm3: 7.9

(19)
# TaBiCl3

TaBiCl3 at its PBEsol-relaxed geometry (meta-GGA SCAN, Alexandria).

extended XYZ file:
```
5
Lattice="5.4148 0.0000 0.0000 0.0000 5.4148 0.0000 0.0000 0.0000 5.4148" Properties=species:S:1:pos:R:3 pbc="T T T"
Cl 0.0000 2.7074 0.0000
Cl 0.0000 0.0000 2.7074
Cl 2.7074 0.0000 0.0000
Bi 0.0000 0.0000 0.0000
Ta 2.7074 2.7074 2.7074
```

Results
Total magnetization in Bohr magnetons per cell: 4.3
Formation energy from raw total energies in kJ/mol of atoms: 77
E_tot in eV/atom: -33.016
SG: Pm-3m (221)
Calculated density in g/cm3: 5.2

(20)
# Sc2AgSe

Sc2AgSe at its PBEsol-relaxed geometry (meta-GGA SCAN, Alexandria).

extended XYZ file:
```
4
Lattice="3.8967 0.0000 0.0000 0.0000 3.8967 0.0000 -1.9483 -1.9483 5.0790" Properties=species:S:1:pos:R:3 pbc="T T T"
Ag 0.0000 1.9483 2.5395
Sc 0.0000 0.0000 0.0000
Sc 1.9483 0.0000 2.5395
Se 1.9483 1.9483 0.0000
```

Results
Total magnetization in Bohr magnetons per cell: 0.0
Formation energy from raw total energies in kJ/mol of atoms: -63
E_tot in eV/atom: -20.633
SG: I-4m2 (119)
Calculated density in g/cm3: 6.0